(1)
The following is a DFT calculation (PBE) of a geometry-optimized Na2SrCa2 structure.

Cell: 10.1890 12.6925 7.7183 Å, 90.00 108.86 90.00°
Last column: nearest neighbours and their distance in Å.
Space group C2/c (No. 15)
Inequivalent atoms, fractional coordinates:
Na 0.0000 0.0000 0.0000 [4 per cell]  2 Ca 3.55, 2 Sr 3.81, 2 Na 3.86
Na 0.2500 0.2500 0.0000 [4 per cell]  4 Ca 3.65-4.02, 2 Sr 3.66, 2 Na 4.07
Sr 0.0000 0.2585 0.2500 [4 per cell]  4 Na 3.66-3.81, 4 Ca 4.04-4.08
Ca 0.1681 0.4650 0.6673 [8 per cell]  2 Na 3.55-3.65, 3 Ca 3.67-3.96

Output
- Total moment: 0.0 Bohr magnetons per cell
- D(E_F): 22.795 states/eV per cell
- Calculated volume: 236.14 Å³/f.u.
- VASP energy: -1.49 eV/atom
- DFT formation energy: 17 kJ/mol of atoms

***

(2)
The following is a DFT calculation (PBE) of a geometry-optimized Na9Sr2Ca structure.

Cell: 7.0784 7.0784 33.3727 Å, 90.00 90.00 120.00°
Last column: nearest neighbours and their distance in Å.
Space group R-3m (No. 166, hexagonal axes)
Inequivalent atoms, fractional coordinates:
Na 0.0000 0.0000 0.0000 [3 per cell]  6 Na 3.48
Na 0.0000 0.0000 0.1656 [6 per cell]  6 Na 3.44-3.45
Na 0.0063 0.5031 0.4171 [18 per cell]  7 Na 3.44-3.61
Sr 0.0000 0.0000 0.3595 [6 per cell]  12 Na 4.03-4.18, 3 Sr 4.44
Ca 0.0000 0.0000 0.5000 [3 per cell]  18 Na 4.09-4.49

Output
- Total moment: 0.0 Bohr magnetons per cell
- D(E_F): 24.347 states/eV per cell
- Calculated volume: 482.69 Å³/f.u.
- VASP energy: -1.39 eV/atom
- DFT formation energy: 5 kJ/mol of atoms

***

Number 1 is which compound?
Na2SrCa2

***

Look up the VASP energy of the first one.
-1.49 eV/atom

***

Copy entry 2 word for word.
The following is a DFT calculation (PBE) of a geometry-optimized Na9Sr2Ca structure.

Cell: 7.0784 7.0784 33.3727 Å, 90.00 90.00 120.00°
Last column: nearest neighbours and their distance in Å.
Space group R-3m (No. 166, hexagonal axes)
Inequivalent atoms, fractional coordinates:
Na 0.0000 0.0000 0.0000 [3 per cell]  6 Na 3.48
Na 0.0000 0.0000 0.1656 [6 per cell]  6 Na 3.44-3.45
Na 0.0063 0.5031 0.4171 [18 per cell]  7 Na 3.44-3.61
Sr 0.0000 0.0000 0.3595 [6 per cell]  12 Na 4.03-4.18, 3 Sr 4.44
Ca 0.0000 0.0000 0.5000 [3 per cell]  18 Na 4.09-4.49

Output
- Total moment: 0.0 Bohr magnetons per cell
- D(E_F): 24.347 states/eV per cell
- Calculated volume: 482.69 Å³/f.u.
- VASP energy: -1.39 eV/atom
- DFT formation energy: 5 kJ/mol of atoms